No. 1
The following is a PBE calculation of a geometry-optimized Cu8Ni2Pt structure, from the Alexandria database.

The space group is Amm2 (No. 38) and the conventional cell measures 3.932, 9.675 and 7.446 Å, with angles of 90.00, 90.00 and 90.00 degrees. The distinct sites, in fractional coordinates, are Cu at (0.000, 0.000, 0.000), Cu at (0.000, 0.000, 0.322), Cu at (0.000, 0.243, 0.126), Cu at (0.500, 0.132, 0.491), Cu at (0.500, 0.141, 0.830), Ni at (0.500, 0.119, 0.163) and Pt at (0.000, 0.000, 0.664).

Its formation energy is 2.23 kcal/mol of atoms.

=====

No. 2
The following is a PBE calculation of a geometry-optimized Pm2Cu2Pt structure, from the Alexandria database.

The space group is C2/m (No. 12) and the conventional cell measures 10.520, 4.154 and 11.113 Å, with angles of 90.00, 115.79 and 90.00 degrees. The distinct sites, in fractional coordinates, are Pm at (0.039, 0.000, 0.352), Pm at (0.198, 0.000, 0.117), Cu at (0.019, 0.500, 0.893), Cu at (0.129, 0.500, 0.566) and Pt at (0.225, 0.500, 0.320).

As for the energy above the most stable polymorph in this dataset: 0 meV/atom. Its formation energy is -12.73 kcal/mol of atoms.

=====

No. 3
The following is a PBE calculation of a geometry-optimized La7CeNd12 structure, from the Alexandria database.

The space group is Im-3 (No. 204) and the conventional cell measures 11.582, 11.582 and 11.582 Å, with angles of 90.00, 90.00 and 90.00 degrees. The distinct sites, in fractional coordinates, are La at (0.000, 0.000, 0.500), La at (0.250, 0.250, 0.250), Ce at (0.000, 0.000, 0.000) and Nd at (0.000, 0.271, 0.221).

As for the energy above the most stable polymorph in this dataset: 388 meV/atom. Its formation energy is 13.18 kcal/mol of atoms.

=====

No. 4
The following is a PBE calculation of a geometry-optimized La8GePt3I4 structure, from the Alexandria database.

The space group is R-3m (No. 166, hexagonal axes) and the conventional cell measures 8.7646, 8.7646 and 24.2630 Å, with angles of 90.00, 90.00 and 120.00 degrees. The distinct sites, in fractional coordinates, are La at (0.0000, 0.0000, 0.2300), La at (0.0077, 0.5038, 0.7689), Ge at (0.0000, 0.0000, 0.5000), Pt at (0.0000, 0.5000, 0.5000), I at (0.0000, 0.0000, 0.0000) and I at (0.0000, 0.5000, 0.0000).

As for the formation energy without anion corrections: -1.147 eV per atom.

=====

No. 5
The following is a PBE calculation of a geometry-optimized Ba2ZnBr structure, from the Alexandria database.

The space group is Immm (No. 71) and the conventional cell measures 5.305, 6.655 and 8.692 Å, with angles of 90.00, 90.00 and 90.00 degrees. The distinct sites, in fractional coordinates, are Ba at (0.000, 0.000, 0.243), Zn at (0.000, 0.500, 0.000) and Br at (0.000, 0.500, 0.500).

As for the formation energy without anion corrections: -0.659 eV per atom. As for the energy above the most stable polymorph in this dataset: 229 meV/atom.

=====

No. 6
The following is a PBE calculation of a geometry-optimized AsC3 structure, from the Alexandria database.

The space group is Cmmm (No. 65) and the conventional cell measures 3.835, 6.619 and 3.318 Å, with angles of 90.00, 90.00 and 90.00 degrees. The distinct sites, in fractional coordinates, are As at (0.000, 0.000, 0.000), C at (0.000, 0.500, 0.000) and C at (0.250, 0.250, 0.500).

As for the energy above the most stable polymorph in this dataset: 2579 meV/atom. Its formation energy is 77.06 kcal/mol of atoms.

=====

Number 1: VASP energy -4.483 eV/atom. Number 2: VASP energy -5.299 eV/atom. Number 3: VASP energy -4.310 eV/atom. Number 4: VASP energy -5.419 eV/atom. Number 5: VASP energy -2.357 eV/atom. Number 6: VASP energy -4.739 eV/atom.